Entry 1:
# Zr2CoMo

A relaxed Zr2CoMo crystal (PBE-GGA, Alexandria).

Results
For the density of states at the Fermi level, the calculation gives 1.030 states/eV/atom. For the size of the total moment, the calculation gives 0.06 μB per atom. The calculation puts the total energy at -8.90 eV per atom.

Cell: 3.282 3.282 6.516 Å, 90.00 90.00 90.00°
Atoms (fractional coordinates):
Zr  0.000  0.000  0.243
Zr  0.000  0.000  0.757
Co  0.500  0.500  0.000
Mo  0.500  0.500  0.500

***

Entry 2:
# ZrCo2Mo

A relaxed ZrCo2Mo crystal (PBE-GGA, Alexandria).

Results
For the density of states at the Fermi level, the calculation gives 0.809 states/eV/atom. For the size of the total moment, the calculation gives 0.95 μB per atom. As for the relative energy among the computed polymorphs: 0.28 eV per formula unit.

Cell: 6.208 6.208 6.208 Å, 90.00 90.00 90.00°
Atoms (fractional coordinates):
Zr  0.000  0.000  0.000
Zr  0.000  0.500  0.500
Zr  0.500  0.000  0.500
Zr  0.500  0.500  0.000
Co  0.250  0.250  0.250
Co  0.250  0.250  0.750
Co  0.250  0.750  0.250
Co  0.250  0.750  0.750
Co  0.750  0.250  0.250
Co  0.750  0.250  0.750
Co  0.750  0.750  0.250
Co  0.750  0.750  0.750
Mo  0.000  0.000  0.500
Mo  0.000  0.500  0.000
Mo  0.500  0.000  0.000
Mo  0.500  0.500  0.500

***

Entry 3:
# Co2N

A relaxed Co2N crystal (PBE-GGA, Alexandria).

Results
The raw formation energy is 0.20 eV/f.u. For the density of states at the Fermi level, the calculation gives 1.027 states/eV/atom. For the size of the total moment, the calculation gives 0.00 μB per atom.

Cell: 4.292 4.537 2.842 Å, 90.00 90.00 90.00°
Atoms (fractional coordinates):
Co  0.227  0.177  0.000
Co  0.273  0.677  0.500
Co  0.727  0.323  0.500
Co  0.773  0.823  0.000
N  0.000  0.000  0.500
N  0.500  0.500  0.000

***

Entry 4:
# Co4N

A relaxed Co4N crystal (PBE-GGA, Alexandria).

Results
The raw formation energy is 0.41 eV/f.u. For the density of states at the Fermi level, the calculation gives 1.416 states/eV/atom. For the size of the total moment, the calculation gives 1.25 μB per atom.

Cell: 3.727 3.727 3.727 Å, 90.00 90.00 90.00°
Atoms (fractional coordinates):
Co  0.000  0.000  0.000
Co  0.000  0.500  0.500
Co  0.500  0.000  0.500
Co  0.500  0.500  0.000
N  0.500  0.500  0.500